Below is a relaxed AcLa6DyTm2 crystal, with properties calculated at the PBE level.

```
AcLa6DyTm2
1.0
-1.607 -9.461 -2.478
8.743 -1.412 2.053
-5.949 -0.178 6.872
Ac La Tm Dy
2 12 4 2
direct
0.250 0.971 0.029
0.750 0.029 0.971
0.379 0.512 0.295
0.686 0.002 0.551
0.552 0.756 0.113
0.121 0.705 0.488
0.814 0.449 0.998
0.314 0.998 0.449
0.621 0.488 0.705
0.879 0.295 0.512
0.052 0.113 0.756
0.948 0.887 0.244
0.448 0.244 0.887
0.186 0.551 0.002
0.452 0.795 0.695
0.048 0.305 0.205
0.548 0.205 0.305
0.952 0.695 0.795
0.750 0.588 0.412
0.250 0.412 0.588
```

Computed properties:
- Electronic total energy: -4.613 eV/atom
- Space-group type: C2/c

=====

Below is a relaxed AcLa4Dy2Tm crystal, with properties calculated at the PBE level.

```
AcLa4Dy2Tm
1.0
5.250 0.000 0.000
2.625 5.767 -0.567
2.625 -0.090 9.432
La Ac Dy Tm
4 1 2 1
direct
0.626 0.626 0.122
0.122 0.124 0.632
0.878 0.876 0.368
0.374 0.374 0.878
0.500 0.500 0.500
0.743 0.758 0.757
0.257 0.242 0.243
0.000 0.000 0.000
```

Computed properties:
- Electronic total energy: -4.649 eV/atom
- Space-group type: C2/m

=====

Below is a relaxed AcLa5DyY2 crystal, with properties calculated at the PBE level.

```
AcLa5DyY2
1.0
-1.670 9.432 -0.614
0.454 -0.543 -9.572
-6.537 -5.726 4.827
Y Dy La Ac
4 2 10 2
direct
0.609 0.109 0.000
0.391 0.891 0.000
0.891 0.609 0.000
0.109 0.391 0.000
0.250 0.750 0.500
0.750 0.250 0.500
0.167 0.068 0.734
0.667 0.167 0.734
0.833 0.932 0.266
0.068 0.568 0.734
0.932 0.432 0.266
0.500 0.500 0.000
0.333 0.833 0.266
0.568 0.667 0.734
0.432 0.333 0.266
0.000 0.000 0.000
0.250 0.250 0.500
0.750 0.750 0.500
```

Computed properties:
- Electronic total energy: -4.867 eV/atom
- Space-group type: I4/mcm

=====

Below is a relaxed Ac2La3DyY6 crystal, with properties calculated at the PBE level.

```
Ac2La3DyY6
1.0
-5.925 -0.583 2.358
3.122 -5.170 -2.128
5.410 0.168 10.740
Y La Ac Dy
6 3 2 1
direct
0.247 0.247 0.748
0.586 0.916 0.748
0.414 0.084 0.252
0.916 0.586 0.748
0.753 0.753 0.252
0.084 0.414 0.252
0.500 0.500 0.500
0.167 0.833 0.500
0.833 0.167 0.500
0.666 0.334 0.000
0.334 0.666 0.000
0.000 0.000 0.000
```

Computed properties:
- Electronic total energy: -5.510 eV/atom
- Space-group type: C2/m